# 1
Below is a geometry-optimized Mg2AlBr structure, with properties calculated at the PBE level.

Properties
Space group: No. 122
Formation energy from raw total energies (eV/atom): -0.012

Cell lengths 7.1041, 7.1041, 6.9945 Å; angles 59.48, 59.48, 90.00 degrees
Fractional coordinates of all 8 atoms:
1 Mg 0.6227 0.1250 0.2500
2 Mg 0.1273 0.6250 0.2500
3 Mg 0.3750 0.3773 0.7500
4 Mg 0.8750 0.8727 0.7500
5 Al 0.5000 0.5000 0.0000
6 Al 0.2500 0.7500 0.5000
7 Br 0.0000 0.0000 0.0000
8 Br 0.7500 0.2500 0.5000

# 2
Below is a geometry-optimized MgAl2Br structure, with properties calculated at the PBE level.

Properties
Space group: No. 6
Formation energy from raw total energies (eV/atom): -0.044

Cell lengths 5.4243, 3.3177, 5.0837 Å; angles 89.97, 90.00, 90.00 degrees
Fractional coordinates of all 4 atoms:
1 Al 0.0000 0.1235 0.0575
2 Al 0.5000 0.1251 0.1582
3 Br 0.0000 0.6254 0.6314
4 Mg 0.5000 0.6260 0.6528

# 3
Below is a geometry-optimized MgAl2Br structure, with properties calculated at the PBE level.

Properties
Space group: No. 139
Formation energy from raw total energies (eV/atom): 0.064

Cell lengths 6.0440, 6.0440, 6.0441 Å; angles 140.34, 140.34, 57.34 degrees
Fractional coordinates of all 4 atoms:
1 Al 0.0000 0.0000 0.0000
2 Al 0.5000 0.5000 0.0000
3 Br 0.2500 0.7500 0.5000
4 Mg 0.7500 0.2500 0.5000

# 4
Below is a geometry-optimized MgAl2Br structure, with properties calculated at the PBE level.

Properties
Space group: No. 160
Formation energy from raw total energies (eV/atom): -0.090

Cell lengths 8.3260, 8.3260, 8.3260 Å; angles 25.73, 25.73, 25.73 degrees
Fractional coordinates of all 4 atoms:
1 Al 0.9986 0.9986 0.9986
2 Al 0.2664 0.2664 0.2664
3 Br 0.4861 0.4861 0.4861
4 Mg 0.7489 0.7489 0.7489

# 5
Below is a geometry-optimized Mg3AlBr structure, with properties calculated at the PBE level.

Properties
Space group: No. 221
Formation energy from raw total energies (eV/atom): -0.044

Cell lengths 5.2813, 5.2813, 5.2813 Å; angles 90.00, 90.00, 90.00 degrees
Fractional coordinates of all 5 atoms:
1 Mg 0.0000 0.5000 0.0000
2 Mg 0.0000 0.0000 0.5000
3 Mg 0.5000 0.0000 0.0000
4 Al 0.0000 0.0000 0.0000
5 Br 0.5000 0.5000 0.5000

# 6
Below is a geometry-optimized Mg2AlBr structure, with properties calculated at the PBE level.

Properties
Space group: No. 10
Formation energy from raw total energies (eV/atom): -0.174

Cell lengths 3.3578, 7.6248, 5.8234 Å; angles 39.78, 90.00, 90.00 degrees
Fractional coordinates of all 4 atoms:
1 Al 0.5000 0.5000 0.5000
2 Br 0.0000 0.0000 0.5000
3 Mg 0.0000 0.0000 0.0000
4 Mg 0.5000 0.5000 0.0000

# 7
Below is a geometry-optimized Mg2AlBr structure, with properties calculated at the PBE level.

Properties
Space group: No. 8
Formation energy from raw total energies (eV/atom): -0.170

Cell lengths 5.9180, 5.9180, 5.1105 Å; angles 89.40, 89.40, 31.70 degrees
Fractional coordinates of all 4 atoms:
1 Al 0.4882 0.4882 0.6116
2 Br 0.2469 0.2469 0.1178
3 Mg 0.0112 0.0112 0.1133
4 Mg 0.7537 0.7537 0.6573

# 8
Below is a geometry-optimized Mg2AlBr structure, with properties calculated at the PBE level.

Properties
Space group: No. 47
Formation energy from raw total energies (eV/atom): -0.018

Cell lengths 3.2840, 5.8513, 4.9797 Å; angles 90.00, 90.00, 90.00 degrees
Fractional coordinates of all 4 atoms:
1 Al 0.5000 0.0000 0.5000
2 Br 0.0000 0.5000 0.5000
3 Mg 0.0000 0.0000 0.0000
4 Mg 0.5000 0.5000 0.0000

# 9
Below is a geometry-optimized Mg2AlBr structure, with properties calculated at the PBE level.

Properties
Space group: No. 99
Formation energy from raw total energies (eV/atom): -0.171

Cell lengths 3.6191, 3.6191, 7.8926 Å; angles 90.00, 90.00, 90.00 degrees
Fractional coordinates of all 4 atoms:
1 Al 0.0000 0.0000 0.4070
2 Br 0.5000 0.5000 0.8331
3 Mg 0.0000 0.0000 0.0083
4 Mg 0.5000 0.5000 0.2516

# 10
Below is a geometry-optimized Mg2AlBr structure, with properties calculated at the PBE level.

Properties
Space group: No. 119
Formation energy from raw total energies (eV/atom): -0.037

Cell lengths 6.1152, 6.1152, 6.1152 Å; angles 139.50, 139.50, 58.61 degrees
Fractional coordinates of all 4 atoms:
1 Al 0.5000 0.5000 0.0000
2 Br 0.7500 0.2500 0.5000
3 Mg 0.0000 0.0000 0.0000
4 Mg 0.2500 0.7500 0.5000

# 11
Below is a geometry-optimized MgAl2Br structure, with properties calculated at the PBE level.

Properties
Space group: No. 119
Formation energy from raw total energies (eV/atom): 0.199

Cell lengths 5.5724, 5.5724, 5.5724 Å; angles 132.84, 132.84, 68.90 degrees
Fractional coordinates of all 4 atoms:
1 Al 0.0000 0.0000 0.0000
2 Al 0.2500 0.7500 0.5000
3 Br 0.5000 0.5000 0.0000
4 Mg 0.7500 0.2500 0.5000

# 12
Below is a geometry-optimized MgAlBr5 structure, with properties calculated at the PBE level.

Properties
Space group: No. 15
Formation energy from raw total energies (eV/atom): -1.195

Cell lengths 7.3755, 7.3763, 9.8573 Å; angles 109.53, 109.53, 90.61 degrees
Fractional coordinates of all 14 atoms:
1 Mg 0.5000 0.0000 0.0000
2 Mg 0.5000 0.0000 0.5000
3 Al 0.8801 0.6201 0.2500
4 Al 0.1199 0.3799 0.7500
5 Br 0.7523 0.7261 0.0439
6 Br 0.2205 0.6700 0.3429
7 Br 0.4248 0.0751 0.2500
8 Br 0.7742 0.7480 0.4562
9 Br 0.2258 0.2520 0.5438
10 Br 0.8299 0.2797 0.1571
11 Br 0.1701 0.7203 0.8429
12 Br 0.5752 0.9249 0.7500
13 Br 0.7795 0.3300 0.6571
14 Br 0.2477 0.2739 0.9561

# 13
Below is a geometry-optimized Mg2AlBr structure, with properties calculated at the PBE level.

Properties
Space group: No. 10
Formation energy from raw total energies (eV/atom): -0.340

Cell lengths 3.4366, 3.5038, 7.7890 Å; angles 90.06, 90.00, 90.00 degrees
Fractional coordinates of all 4 atoms:
1 Al 0.5000 0.2500 0.2500
2 Br 0.5000 0.7500 0.7500
3 Mg 0.0000 0.7495 0.0350
4 Mg 0.0000 0.7505 0.4650

# 14
Below is a geometry-optimized MgAl2Br8 structure, with properties calculated at the PBE level.

Properties
Space group: No. 15
Formation energy from raw total energies (eV/atom): -1.214

Cell lengths 9.2387, 10.5605, 11.0391 Å; angles 70.36, 65.26, 64.06 degrees
Fractional coordinates of all 22 atoms:
1 Mg 0.9865 0.7500 0.2500
2 Mg 0.0135 0.2500 0.7500
3 Al 0.8471 0.8667 0.9698
4 Al 0.3163 0.3667 0.4698
5 Al 0.6837 0.6333 0.5302
6 Al 0.1529 0.1333 0.0302
7 Br 0.4044 0.7517 0.5520
8 Br 0.1271 0.9463 0.2201
9 Br 0.7180 0.9554 0.1734
10 Br 0.1773 0.2142 0.4907
11 Br 0.2820 0.0446 0.8266
12 Br 0.8822 0.2858 0.0093
13 Br 0.8227 0.7858 0.5093
14 Br 0.1533 0.4554 0.6734
15 Br 0.1178 0.7142 0.9907
16 Br 0.7081 0.7483 0.9480
17 Br 0.7065 0.4463 0.7201
18 Br 0.2935 0.5537 0.2799
19 Br 0.2919 0.2517 0.0520
20 Br 0.8467 0.5446 0.3266
21 Br 0.5956 0.2483 0.4480
22 Br 0.8729 0.0537 0.7799

# 15
Below is a geometry-optimized MgAl2Br structure, with properties calculated at the PBE level.

Properties
Space group: No. 69
Formation energy from raw total energies (eV/atom): 0.013

Cell lengths 4.1230, 5.9784, 4.1161 Å; angles 71.72, 84.90, 108.32 degrees
Fractional coordinates of all 4 atoms:
1 Al 0.0000 0.0000 0.0000
2 Al 0.5000 0.0000 0.5000
3 Br 0.0000 0.5000 0.5000
4 Mg 0.5000 0.5000 0.0000

# 16
Below is a geometry-optimized MgAl3Br structure, with properties calculated at the PBE level.

Properties
Space group: No. 221
Formation energy from raw total energies (eV/atom): 0.787

Cell lengths 5.3213, 5.3213, 5.3213 Å; angles 90.00, 90.00, 90.00 degrees
Fractional coordinates of all 5 atoms:
1 Mg 0.5000 0.5000 0.5000
2 Al 0.0000 0.5000 0.0000
3 Al 0.0000 0.0000 0.5000
4 Al 0.5000 0.0000 0.0000
5 Br 0.0000 0.0000 0.0000

# 17
Below is a geometry-optimized Mg2AlBr structure, with properties calculated at the PBE level.

Properties
Space group: No. 139
Formation energy from raw total energies (eV/atom): 0.079

Cell lengths 5.4905, 5.4905, 5.4905 Å; angles 129.90, 129.90, 73.56 degrees
Fractional coordinates of all 4 atoms:
1 Al 0.2500 0.7500 0.5000
2 Br 0.7500 0.2500 0.5000
3 Mg 0.0000 0.0000 0.0000
4 Mg 0.5000 0.5000 0.0000

# 18
Below is a geometry-optimized MgAl2Br structure, with properties calculated at the PBE level.

Properties
Space group: No. 44
Formation energy from raw total energies (eV/atom): 0.036

Cell lengths 5.9317, 5.9317, 5.9317 Å; angles 148.26, 124.37, 65.48 degrees
Fractional coordinates of all 4 atoms:
1 Al 0.0100 0.0100 0.0000
2 Al 0.7682 0.2682 0.5000
3 Br 0.4699 0.4699 0.0000
4 Mg 0.2518 0.7518 0.5000

# 19
Below is a geometry-optimized Mg2AlBr structure, with properties calculated at the PBE level.

Properties
Space group: No. 12
Formation energy from raw total energies (eV/atom): -0.142

Cell lengths 5.3582, 5.3582, 3.2736 Å; angles 83.27, 83.27, 93.50 degrees
Fractional coordinates of all 4 atoms:
1 Al 0.5000 0.0000 0.5000
2 Br 0.0000 0.5000 0.5000
3 Mg 0.0000 0.0000 0.0000
4 Mg 0.5000 0.5000 0.0000

# 20
Below is a geometry-optimized MgAl2Br structure, with properties calculated at the PBE level.

Properties
Space group: No. 65
Formation energy from raw total energies (eV/atom): 0.116

Cell lengths 3.2641, 3.2641, 9.4751 Å; angles 90.00, 90.00, 119.55 degrees
Fractional coordinates of all 4 atoms:
1 Al 0.0000 0.0000 0.0104
2 Al 0.0000 0.0000 0.4896
3 Br 0.5000 0.5000 0.2500
4 Mg 0.5000 0.5000 0.7500

# 21
Below is a geometry-optimized Mg2AlBr structure, with properties calculated at the PBE level.

Properties
Space group: No. 12
Formation energy from raw total energies (eV/atom): -0.068

Cell lengths 5.9709, 5.9709, 5.9270 Å; angles 60.38, 60.38, 31.45 degrees
Fractional coordinates of all 4 atoms:
1 Al 0.7500 0.7500 0.7500
2 Br 0.2500 0.2500 0.2500
3 Mg 0.9928 0.9928 0.0077
4 Mg 0.5072 0.5072 0.4923

# 22
Below is a geometry-optimized Mg2AlBr structure, with properties calculated at the PBE level.

Properties
Space group: No. 216
Formation energy from raw total energies (eV/atom): 0.181

Cell lengths 5.2603, 5.2603, 5.2603 Å; angles 60.00, 60.00, 60.00 degrees
Fractional coordinates of all 4 atoms:
1 Al 0.5000 0.5000 0.5000
2 Br 0.7500 0.7500 0.7500
3 Mg 0.0000 0.0000 0.0000
4 Mg 0.2500 0.2500 0.2500

# 23
Below is a geometry-optimized MgAl2Br structure, with properties calculated at the PBE level.

Properties
Space group: No. 216
Formation energy from raw total energies (eV/atom): 0.233

Cell lengths 4.9971, 4.9971, 4.9971 Å; angles 60.00, 60.00, 60.00 degrees
Fractional coordinates of all 4 atoms:
1 Al 0.0000 0.0000 0.0000
2 Al 0.2500 0.2500 0.2500
3 Br 0.5000 0.5000 0.5000
4 Mg 0.7500 0.7500 0.7500

# 24
Below is a geometry-optimized MgAl2Br structure, with properties calculated at the PBE level.

Properties
Space group: No. 12
Formation energy from raw total energies (eV/atom): -0.033

Cell lengths 6.0316, 6.0316, 4.4825 Å; angles 90.53, 90.53, 32.52 degrees
Fractional coordinates of all 4 atoms:
1 Al 0.0104 0.0104 0.9893
2 Al 0.4896 0.4896 0.5107
3 Br 0.2500 0.2500 0.2500
4 Mg 0.7500 0.7500 0.7500

# 25
Below is a geometry-optimized Mg2AlBr structure, with properties calculated at the PBE level.

Properties
Space group: No. 99
Formation energy from raw total energies (eV/atom): -0.211

Cell lengths 5.3825, 3.2393, 5.3811 Å; angles 89.99, 90.00, 90.00 degrees
Fractional coordinates of all 4 atoms:
1 Al 0.0000 0.5090 0.3751
2 Br 0.5000 0.9338 0.8751
3 Mg 0.0000 0.0296 0.8748
4 Mg 0.5000 0.0275 0.3749

# 26
Below is a geometry-optimized Mg2AlBr structure, with properties calculated at the PBE level.

Properties
Space group: No. 123
Formation energy from raw total energies (eV/atom): -0.250

Cell lengths 3.3972, 3.3961, 7.7550 Å; angles 90.00, 90.00, 90.00 degrees
Fractional coordinates of all 4 atoms:
1 Al 0.5000 0.5000 0.2500
2 Br 0.5000 0.5000 0.7500
3 Mg 0.0000 0.0000 0.0256
4 Mg 0.0000 0.0000 0.4744

# 27
Below is a geometry-optimized MgAl2Br structure, with properties calculated at the PBE level.

Properties
Space group: No. 122
Formation energy from raw total energies (eV/atom): 0.457

Cell lengths 6.5216, 6.5216, 7.9083 Å; angles 65.65, 65.65, 90.00 degrees
Fractional coordinates of all 8 atoms:
1 Mg 0.5000 0.5000 0.0000
2 Mg 0.2500 0.7500 0.5000
3 Al 0.6228 0.1250 0.2500
4 Al 0.1272 0.6250 0.2500
5 Al 0.3750 0.3772 0.7500
6 Al 0.8750 0.8728 0.7500
7 Br 0.0000 0.0000 0.0000
8 Br 0.7500 0.2500 0.5000

# 28
Below is a geometry-optimized Mg2AlBr structure, with properties calculated at the PBE level.

Properties
Space group: No. 166
Formation energy from raw total energies (eV/atom): -0.264

Cell lengths 8.4574, 8.4574, 8.4574 Å; angles 24.66, 24.66, 24.66 degrees
Fractional coordinates of all 4 atoms:
1 Al 0.2500 0.2500 0.2500
2 Br 0.7500 0.7500 0.7500
3 Mg 0.9969 0.9969 0.9969
4 Mg 0.5031 0.5031 0.5031